Entry 1:
First-principles (GGA-PBE) data for an optimized crystal structure of RbMgAl2H8, as listed in Alexandria.

Unit cell a=7.9789 b=7.9789 c=7.9789 alpha=36.34 beta=36.34 gamma=36.34
With the nearest neighbours (Å) after each atom.
Positions (direct):
Rb 0.0000 0.0000 0.0000  12 H 2.95-3.15
Mg 0.5000 0.5000 0.5000  6 H 1.98
Al 0.2305 0.2305 0.2305  4 H 1.64-1.67
Al 0.7695 0.7695 0.7695  4 H 1.64-1.67
H 0.1142 0.7847 0.4587  1 Al 1.67
H 0.2153 0.5413 0.8858  1 Al 1.67
H 0.3039 0.3039 0.3039  1 Al 1.64
H 0.4587 0.1142 0.7847  1 Al 1.67
H 0.5413 0.8858 0.2153  1 Al 1.67
H 0.6961 0.6961 0.6961  1 Al 1.64
H 0.7847 0.4587 0.1142  1 Al 1.67
H 0.8858 0.2153 0.5413  1 Al 1.67

=====

Entry 2:
First-principles (GGA-PBE) data for an optimized crystal structure of RbMgAlH6, as listed in Alexandria.

Unit cell a=4.9155 b=4.9155 c=5.9491 alpha=90.00 beta=90.00 gamma=120.00
With the nearest neighbours (Å) after each atom.
Positions (direct):
Rb 0.0000 0.0000 0.0000  6 H 2.70
Mg 0.3333 0.6667 0.5000  6 H 1.94
Al 0.6667 0.3333 0.5000  6 H 1.76
H 0.3908 0.0278 0.6711  1 Al 1.76, 1 Mg 1.94
H 0.3908 0.3630 0.3289  1 Al 1.76, 1 Mg 1.94
H 0.6370 0.0278 0.3289  1 Al 1.76, 1 Mg 1.94
H 0.6370 0.6092 0.6711  1 Al 1.76, 1 Mg 1.94
H 0.9722 0.3630 0.6711  1 Al 1.76, 1 Mg 1.94
H 0.9722 0.6092 0.3289  1 Al 1.76, 1 Mg 1.94

=====

Entry 3:
First-principles (GGA-PBE) data for an optimized crystal structure of MgAlHRu2, as listed in Alexandria.

Unit cell a=4.1323 b=4.1323 c=3.5144 alpha=90.00 beta=90.00 gamma=90.00
With the nearest neighbours (Å) after each atom.
Positions (direct):
Mg 0.0000 0.0000 0.0000  2 H 1.76
Al 0.5000 0.5000 0.0000  8 Ru 2.71, 4 Mg 2.92
H 0.0000 0.0000 0.5000  2 Mg 1.76
Ru 0.0000 0.5000 0.5000  2 H 2.07
Ru 0.5000 0.0000 0.5000  2 H 2.07

=====

Entry 4:
First-principles (GGA-PBE) data for an optimized crystal structure of Mg2AlSbH, as listed in Alexandria.

Unit cell a=5.6353 b=5.6353 c=5.2901 alpha=90.00 beta=90.00 gamma=90.00
With the nearest neighbours (Å) after each atom.
Positions (direct):
Mg 0.0000 0.5000 0.0000  2 Sb 2.82
Mg 0.5000 0.0000 0.0000  2 Sb 2.82
Al 0.0000 0.0000 0.5000  2 Sb 2.65
Sb 0.0000 0.0000 0.0000  2 Al 2.65, 4 Mg 2.82
H 0.5000 0.5000 0.5000  8 Mg 3.86, 4 Al 3.98

=====

Entry 5:
First-principles (GGA-PBE) data for an optimized crystal structure of SrMg2AlH, as listed in Alexandria.

Unit cell a=6.4111 b=6.4111 c=7.9825 alpha=90.00 beta=90.00 gamma=137.44
With the nearest neighbours (Å) after each atom.
Positions (direct):
Sr 0.0614 0.9386 0.7500  4 H 3.15, 3 Al 3.34-3.52
Sr 0.9386 0.0614 0.2500  4 H 3.15, 3 Al 3.34-3.52
Mg 0.3363 0.6637 0.5594  1 H 2.01
Mg 0.3363 0.6637 0.9406  1 H 2.01
Mg 0.6637 0.3363 0.0594  1 H 2.01
Mg 0.6637 0.3363 0.4406  1 H 2.01
Al 0.2177 0.7823 0.2500  6 Mg 2.85
Al 0.7823 0.2177 0.7500  6 Mg 2.85
H 0.5000 0.5000 0.0000  2 Mg 2.01
H 0.5000 0.5000 0.5000  2 Mg 2.01

=====

Entry 6:
First-principles (GGA-PBE) data for an optimized crystal structure of MgAlTc2H, as listed in Alexandria.

Unit cell a=3.9335 b=3.9335 c=4.1246 alpha=90.00 beta=90.00 gamma=90.00
With the nearest neighbours (Å) after each atom.
Positions (direct):
Mg 0.0000 0.0000 0.0000  2 H 2.06
Al 0.5000 0.5000 0.0000  4 Mg 2.78, 8 Tc 2.85
Tc 0.0000 0.5000 0.5000  2 H 1.97
Tc 0.5000 0.0000 0.5000  2 H 1.97
H 0.0000 0.0000 0.5000  4 Tc 1.97, 2 Mg 2.06

=====

| no. | raw total energy (eV/atom) |
| --- | --- |
| 1 | -3.099 |
| 2 | -3.130 |
| 3 | -5.572 |
| 4 | -1.980 |
| 5 | -2.551 |
| 6 | -5.799 |